{"formula": "KTlS2Br", "functional": "PBE", "state": "relaxed", "lattice_angstrom": [[5.3582, 0.0000, 0.0000], [0.0000, 5.3582, 0.0000], [0.0000, 0.0000, 5.5607]], "species": ["K", "Tl", "S", "S", "Br"], "frac_coords": [[0.0000, 0.0000, 0.0000], [0.5000, 0.5000, 0.0000], [0.0000, 0.5000, 0.5000], [0.5000, 0.0000, 0.5000], [0.0000, 0.0000, 0.5000]], "sg": "P4/mmm, No. 123", "final_energy_ev_per_atom": -2.6274, "vol_a3_per_cell": 160, "mass_density_g_cm3": 4.031, "formation_energy_uncorrected_ev_per_atom": 0.05, "magnetic_moment_mub_per_cell": 0.0}